A relaxed ScAgSe2 crystal. Source: Alexandria, functional GGA-PBE.

Values from the calculation:
Space-group type: No. 164
N(E_F): 0.000 states/eV/f.u.
Crystal system: trigonal
Final energy: -20.51 eV/cell

a = 3.926 Å, b = 3.926 Å, c = 6.638 Å
α = 90.00°, β = 90.00°, γ = 120.00°
Element x y z (fractional)
Ag (0.000, 0.000, 0.500)
Se (0.333, 0.667, 0.232)
Se (0.667, 0.333, 0.768)
Sc (0.000, 0.000, 0.000)